DFT (PBE-GGA) results for a relaxed AlNi3H crystal.

The structure in POSCAR format:
```
AlNi3H
1.0
-2.1007 2.1007 8.5283
2.1007 -2.1007 8.5283
2.1007 2.1007 -8.5283
Al Ni H
2 6 2
Cartesian
0.0000 0.0000 0.0000
0.0000 2.1007 4.2641
0.0000 0.0000 6.0175
0.0000 1.0235 2.1557
0.0000 0.0000 11.0390
-1.0772 2.1007 6.3726
1.0772 2.1007 6.3726
0.0000 3.1778 2.1557
2.1007 0.0000 2.3655
2.1007 0.0000 6.1627
```

Output
**Distance to the lowest polymorph of the same formula**: 4.97 eV/f.u.
**Density of states at the Fermi level**: 0.544 states/eV per atom
**Symmetry**: I-4m2 (119)
**Size of the total moment**: 0.000 μB/atom
**Total energy**: -4.317 eV/atom